! PBE YZrGa, optimized geometry; values from VASP
! Symmetry ... I4/mmm (139)
! Crystal system ... tetragonal
! Density ... 5.8 g/cm³
! Energy ... -6.479 eV per atom
&SYSTEM
  ibrav = 0, nat = 6, ntyp = 3
/
ATOMIC_SPECIES
Zr 91.22 Zr.upf
Ga 69.72 Ga.upf
Y 88.91 Y.upf
ATOMIC_POSITIONS angstrom
Zr 3.9095 2.2660 4.8871
Ga 3.9099 4.3845 6.9456
Y 1.7907 2.2649 2.0548
Ga 3.9095 4.3838 2.8278
Zr 1.7914 4.3842 4.8871
Y 6.0285 2.2669 7.7192
CELL_PARAMETERS angstrom
4.2368 0.0000 0.0000
0.0005 4.2364 0.0000
2.1192 2.1207 7.9923